Computed, not measured: an optimized crystal structure of ScPbBr2 at the PBE-GGA level of DFT.

Cell and atoms, written as CIF:
```
data_ScPbBr2
_cell_length_a 3.3385
_cell_length_b 3.3385
_cell_length_c 11.3782
_cell_angle_alpha 90.00
_cell_angle_beta 90.00
_cell_angle_gamma 90.00
_space_group_name_H-M_alt 'P 4/m m m'
_space_group_IT_number 123
_space_group_name_Hall '-P 4 2'
loop_
_atom_site_label
_atom_site_type_symbol
_atom_site_fract_x
_atom_site_fract_y
_atom_site_fract_z
Sc1 Sc 0.0000 0.0000 0.0000
Pb1 Pb 0.0000 0.0000 0.5000
Br1 Br 0.5000 0.5000 0.1451
```

As for the raw formation energy: -847 meV/atom. The value obtained for the total magnetization is 0.00 μB/cell. Its polymorph energy (0 for the lowest one) is 0.542 eV per formula unit. The calculation puts the density of states at the Fermi level at 1.9 states/eV per cell.